1.
Density functional theory data (PBE) for a relaxed Tm3Sc2Rh2 crystal.

```
Tm3Sc2Rh2
1.0
5.787 -1.823 0.000
5.787 1.823 0.000
-3.762 0.000 7.745
Tm Sc Rh
3 2 2
direct
0.000 0.000 0.000
0.113 0.113 0.431
0.887 0.887 0.569
0.333 0.333 0.184
0.667 0.667 0.816
0.315 0.315 0.764
0.685 0.685 0.236
```

2.
Density functional theory data (PBE) for a relaxed Tm3Sc2Rh3 crystal.

```
Tm3Sc2Rh3
1.0
2.020 -5.997 0.000
2.020 5.997 0.000
0.000 0.000 14.265
Tm Sc Rh
6 4 6
direct
0.050 0.950 0.622
0.050 0.950 0.878
0.332 0.668 0.750
0.668 0.332 0.250
0.950 0.050 0.122
0.950 0.050 0.378
0.234 0.766 0.081
0.234 0.766 0.419
0.766 0.234 0.581
0.766 0.234 0.919
0.347 0.653 0.250
0.399 0.601 0.549
0.399 0.601 0.951
0.601 0.399 0.049
0.601 0.399 0.451
0.653 0.347 0.750
```

3.
Density functional theory data (PBE) for a relaxed TmScRh crystal.

```
TmScRh
1.0
-1.644 1.644 6.066
1.644 -1.644 6.066
1.644 1.644 -6.066
Tm Sc Rh
1 1 1
direct
0.000 0.000 0.000
0.270 0.270 0.000
0.645 0.645 0.000
```

Computed properties:
The calculation puts the distance to the lowest polymorph of the same formula at 0.098 eV/atom.

4.
Density functional theory data (PBE) for a relaxed Tm5ScRh6 crystal.

```
Tm5ScRh6
1.0
2.363 -7.098 0.000
2.363 7.098 0.000
0.000 0.000 6.749
Tm Sc Rh
5 1 6
direct
0.000 0.000 0.000
0.333 0.667 0.000
0.335 0.665 0.500
0.665 0.335 0.500
0.667 0.333 0.000
0.000 0.000 0.500
0.165 0.835 0.253
0.165 0.835 0.747
0.500 0.500 0.256
0.500 0.500 0.744
0.835 0.165 0.253
0.835 0.165 0.747
```

5.
Density functional theory data (PBE) for a relaxed Tm2ScRh crystal.

```
Tm2ScRh
1.0
3.370 0.000 0.000
0.000 3.395 0.000
0.000 0.000 8.247
Tm Sc Rh
2 1 1
direct
0.000 0.000 0.000
0.500 0.500 0.321
0.000 0.000 0.618
0.500 0.500 0.795
```

Computed properties:
The calculation puts the distance to the lowest polymorph of the same formula at 0.081 eV/atom.

6.
Density functional theory data (PBE) for a relaxed TmScRh crystal.

```
TmScRh
1.0
4.482 0.000 0.000
0.000 6.118 3.528
0.000 -6.118 3.528
Tm Sc Rh
3 3 3
direct
0.000 0.000 0.000
0.000 0.177 0.588
0.000 0.588 0.177
0.500 0.332 0.332
0.500 0.589 0.845
0.500 0.845 0.589
0.000 0.588 0.588
0.500 0.255 0.922
0.500 0.922 0.255
```

Computed properties:
The calculation puts the distance to the lowest polymorph of the same formula at 0.000 eV/atom.

7.
Density functional theory data (PBE) for a relaxed Tm2ScRh crystal.

```
Tm2ScRh
1.0
1.781 1.028 9.245
-1.781 1.028 9.245
0.000 -2.057 9.245
Tm Sc Rh
2 1 1
direct
0.232 0.232 0.232
0.768 0.768 0.768
0.000 0.000 0.000
0.500 0.500 0.500
```

Computed properties:
The calculation puts the distance to the lowest polymorph of the same formula at 0.237 eV/atom.

8.
Density functional theory data (PBE) for a relaxed TmSc4Rh crystal.

```
TmSc4Rh
1.0
2.607 -8.485 0.000
2.607 8.485 0.000
0.000 0.000 6.946
Tm Sc Rh
2 8 2
direct
0.113 0.887 0.750
0.887 0.113 0.250
0.119 0.881 0.250
0.294 0.706 0.010
0.294 0.706 0.490
0.500 0.500 0.000
0.500 0.500 0.500
0.706 0.294 0.510
0.706 0.294 0.990
0.881 0.119 0.750
0.396 0.604 0.750
0.604 0.396 0.250
```

9.
Density functional theory data (PBE) for a relaxed Tm2Sc3Rh2 crystal.

```
Tm2Sc3Rh2
1.0
5.656 -1.840 0.000
5.656 1.840 0.000
-3.704 0.000 7.522
Tm Sc Rh
2 3 2
direct
0.156 0.156 0.303
0.844 0.844 0.697
0.381 0.381 0.066
0.500 0.500 0.500
0.619 0.619 0.934
0.169 0.169 0.734
0.831 0.831 0.266
```

Computed properties:
The calculation puts the distance to the lowest polymorph of the same formula at 0.000 eV/atom.

10.
Density functional theory data (PBE) for a relaxed Tm4Sc3Rh4 crystal.

```
Tm4Sc3Rh4
1.0
-1.652 4.356 8.051
1.652 -4.356 8.051
1.652 4.356 -8.051
Tm Sc Rh
4 3 4
direct
0.027 0.839 0.188
0.350 0.161 0.188
0.650 0.839 0.812
0.973 0.161 0.812
0.000 0.500 0.500
0.406 0.406 0.000
0.594 0.594 0.000
0.266 0.766 0.500
0.283 0.000 0.283
0.717 0.000 0.717
0.734 0.234 0.500
```

11.
Density functional theory data (PBE) for a relaxed Tm5Sc4Rh4 crystal.

```
Tm5Sc4Rh4
1.0
-5.896 5.896 2.073
5.896 -5.896 2.073
5.896 5.896 -2.073
Tm Sc Rh
5 4 4
direct
0.000 0.000 0.000
0.310 0.627 0.938
0.373 0.310 0.683
0.627 0.690 0.317
0.690 0.373 0.062
0.109 0.406 0.515
0.406 0.891 0.297
0.594 0.109 0.703
0.891 0.594 0.485
0.073 0.750 0.823
0.250 0.073 0.323
0.750 0.927 0.677
0.927 0.250 0.177
```

12.
Density functional theory data (PBE) for a relaxed TmSc3Rh2 crystal.

```
TmSc3Rh2
1.0
4.328 0.000 0.000
0.000 8.381 0.000
0.000 0.000 6.872
Tm Sc Rh
2 6 4
direct
0.000 0.077 0.000
0.000 0.923 0.500
0.000 0.332 0.628
0.000 0.668 0.128
0.500 0.185 0.343
0.500 0.419 0.968
0.500 0.581 0.468
0.500 0.815 0.843
0.000 0.351 0.231
0.000 0.649 0.731
0.500 0.153 0.734
0.500 0.847 0.234
```

no.,magnetic moment (Bohr magnetons per cell),electronic total energy (eV per atom)
1,0.00,-6.4226
2,0.00,-6.8041
3,0.00,-6.6610
4,0.00,-7.0387
5,0.00,-6.0987
6,0.00,-6.7587
7,1.10,-5.9425
8,0.00,-6.3480
9,0.00,-6.7034
10,0.00,-6.6931
11,0.00,-6.5671
12,0.00,-7.0719